# 1
## MnBeCl (meta-GGA SCAN)

Data for a PBEsol-optimized structure of MnBeCl.

abc: 3.8607 3.8607 2.8500
angles: 90.00 90.00 120.00
Closest atoms and distances in Å follow each position.
Atoms (fractional coordinates):
Mn 0.0000 0.0000 0.0000  3 Cl 2.23
Be 0.3333 0.6667 0.5000  6 Mn 2.65, 6 Cl 2.65, 2 Be 2.85
Cl 0.6667 0.3333 0.0000  3 Mn 2.23

Distance to the lowest polymorph of the same formula, eV/f.u.: 0.000
Space group: P-6m2, No. 187
Total magnetic moment, μB per formula unit: 2.84
Formation energy (no corrections), eV/atom: 0.500



# 2
## MnBeCl (meta-GGA SCAN)

Data for a PBEsol-optimized structure of MnBeCl.

abc: 3.8655 3.8655 3.8655
angles: 60.00 60.00 60.00
Closest atoms and distances in Å follow each position.
Atoms (fractional coordinates):
Mn 0.0000 0.0000 0.0000  4 Cl 2.37
Be 0.5000 0.5000 0.5000  4 Cl 2.37
Cl 0.2500 0.2500 0.2500  4 Mn 2.37, 4 Be 2.37

Distance to the lowest polymorph of the same formula, eV/f.u.: 0.989
Space group: F-43m, No. 216
Total magnetic moment, μB per formula unit: 2.82
Formation energy (no corrections), eV/atom: 0.830



# 3
## MnBeCl2 (meta-GGA SCAN)

Data for a PBEsol-optimized structure of MnBeCl2.

abc: 6.4788 6.4788 3.1968
angles: 104.02 104.02 32.89
Closest atoms and distances in Å follow each position.
Atoms (fractional coordinates):
Mn 0.0000 0.0000 0.0000  4 Be 2.43, 4 Cl 2.44
Be 0.5000 0.5000 0.5000  4 Cl 2.26-2.27, 4 Mn 2.43
Cl 0.3664 0.3664 0.8681  2 Be 2.26-2.27, 2 Mn 2.44
Cl 0.6336 0.6336 0.1319  2 Be 2.26-2.27, 2 Mn 2.44

Distance to the lowest polymorph of the same formula, eV/f.u.: 0.000
Space group: C2/m, No. 12
Total magnetic moment, μB per formula unit: 3.60
Formation energy (no corrections), eV/atom: -0.554



# 4
## MnBeCl2 (meta-GGA SCAN)

Data for a PBEsol-optimized structure of MnBeCl2.

abc: 3.0984 3.7190 5.6289
angles: 90.00 90.00 90.00
Closest atoms and distances in Å follow each position.
Atoms (fractional coordinates):
Mn 0.0000 0.0000 0.0000  4 Cl 2.42
Be 0.5000 0.0000 0.5000  4 Cl 2.42
Cl 0.0000 0.5000 0.5000  4 Be 2.42
Cl 0.5000 0.5000 0.0000  4 Mn 2.42

Distance to the lowest polymorph of the same formula, eV/f.u.: 1.944
Space group: Pmmm, No. 47
Total magnetic moment, μB per formula unit: 3.52
Formation energy (no corrections), eV/atom: -0.068



# 5
## Be2MoCl (meta-GGA SCAN)

Data for a PBEsol-optimized structure of Be2MoCl.

abc: 3.9887 4.8380 4.8380
angles: 32.60 90.00 90.00
Closest atoms and distances in Å follow each position.
Atoms (fractional coordinates):
Be 0.0000 0.0000 0.0000  2 Be 2.25, 2 Cl 2.32, 2 Mo 2.44
Be 0.5000 0.1114 0.1114  1 Cl 2.23, 2 Be 2.25
Mo 0.0000 0.7182 0.7182  7 Be 2.44-2.62, 2 Cl 2.45, 2 Mo 2.72
Cl 0.5000 0.8717 0.8717  3 Be 2.23-2.32, 2 Mo 2.45

Distance to the lowest polymorph of the same formula, eV/f.u.: 0.000
Space group: Amm2, No. 38
Total magnetic moment, μB per formula unit: 0.00
Formation energy (no corrections), eV/atom: 0.382



# 6
## Be2MoCl (meta-GGA SCAN)

Data for a PBEsol-optimized structure of Be2MoCl.

abc: 4.5424 4.5424 4.6218
angles: 99.82 99.82 35.35
Closest atoms and distances in Å follow each position.
Atoms (fractional coordinates):
Be 0.2115 0.2115 0.3358  2 Be 2.07, 1 Cl 2.18
Be 0.7885 0.7885 0.6642  2 Be 2.07, 1 Cl 2.18
Mo 0.5000 0.5000 0.5000  6 Be 2.48-2.52, 4 Cl 2.69, 2 Mo 2.76
Cl 0.0000 0.0000 0.0000  2 Be 2.18

Distance to the lowest polymorph of the same formula, eV/f.u.: 0.875
Space group: C2/m, No. 12
Total magnetic moment, μB per formula unit: 0.00
Formation energy (no corrections), eV/atom: 0.601



# 7
## BeMoCl (meta-GGA SCAN)

Data for a PBEsol-optimized structure of BeMoCl.

abc: 4.1813 4.1813 2.6948
angles: 90.00 90.00 120.00
Closest atoms and distances in Å follow each position.
Atoms (fractional coordinates):
Be 0.0000 0.0000 0.0000  2 Be 2.69, 6 Cl 2.76, 6 Mo 2.76
Mo 0.6667 0.3333 0.5000  3 Cl 2.41, 2 Mo 2.69
Cl 0.3333 0.6667 0.5000  3 Mo 2.41, 2 Cl 2.69

Space group: P-6m2, No. 187
Total magnetic moment, μB per formula unit: 0.03
Formation energy (no corrections), eV/atom: 0.717



# 8
## BeSbMoCl2 (meta-GGA SCAN)

Data for a PBEsol-optimized structure of BeSbMoCl2.

abc: 4.0489 4.0489 7.4126
angles: 90.00 90.00 90.00
Closest atoms and distances in Å follow each position.
Atoms (fractional coordinates):
Be 0.0000 0.0000 0.0000  4 Cl 2.02
Sb 0.5000 0.5000 0.5000  4 Mo 2.86
Mo 0.0000 0.0000 0.5000  4 Sb 2.86
Cl 0.0000 0.5000 0.0000  2 Be 2.02
Cl 0.5000 0.0000 0.0000  2 Be 2.02

Space group: P4/mmm, No. 123
Total magnetic moment, μB per formula unit: 3.02
Formation energy (no corrections), eV/atom: 0.113



# 9
## Ta2BeMoCl (meta-GGA SCAN)

Data for a PBEsol-optimized structure of Ta2BeMoCl.

abc: 4.8125 4.8125 4.3529
angles: 90.00 90.00 90.00
Closest atoms and distances in Å follow each position.
Atoms (fractional coordinates):
Ta 0.0000 0.5000 0.0000  2 Mo 2.41
Ta 0.5000 0.0000 0.0000  2 Mo 2.41
Be 0.0000 0.0000 0.5000  2 Mo 2.18
Mo 0.0000 0.0000 0.0000  2 Be 2.18, 4 Ta 2.41
Cl 0.5000 0.5000 0.5000  8 Ta 3.24, 4 Be 3.40

Space group: P4/mmm, No. 123
Total magnetic moment, μB per formula unit: 0.00
Formation energy (no corrections), eV/atom: 1.456



# 10
## BeS2NCl (meta-GGA SCAN)

Data for a PBEsol-optimized structure of BeS2NCl.

abc: 4.6773 4.6773 3.1294
angles: 90.00 90.00 90.00
Closest atoms and distances in Å follow each position.
Atoms (fractional coordinates):
Be 0.0000 0.0000 0.0000  2 N 1.56
S 0.0000 0.5000 0.0000  2 Be 2.34
S 0.5000 0.0000 0.0000  2 Be 2.34
N 0.0000 0.0000 0.5000  2 Be 1.56
Cl 0.5000 0.5000 0.5000  8 S 2.81, 2 Cl 3.13

Distance to the lowest polymorph of the same formula, eV/f.u.: 0.000
Space group: P4/mmm, No. 123
Total magnetic moment, μB per formula unit: 0.00
Formation energy (no corrections), eV/atom: 0.955



# 11
## BeS2NCl (meta-GGA SCAN)

Data for a PBEsol-optimized structure of BeS2NCl.

abc: 4.7084 4.7084 3.3508
angles: 90.00 90.00 90.00
Closest atoms and distances in Å follow each position.
Atoms (fractional coordinates):
Be 0.0000 0.0000 0.0000  8 S 2.89
S 0.0000 0.5000 0.5000  2 Cl 2.35
S 0.5000 0.0000 0.5000  2 Cl 2.35
N 0.5000 0.5000 0.0000  2 Cl 1.68
Cl 0.5000 0.5000 0.5000  2 N 1.68

Distance to the lowest polymorph of the same formula, eV/f.u.: 4.693
Space group: P4/mmm, No. 123
Total magnetic moment, μB per formula unit: 0.41
Formation energy (no corrections), eV/atom: 1.894



# 12
## Na3BeCl (meta-GGA SCAN)

Data for a PBEsol-optimized structure of Na3BeCl.

abc: 5.2181 5.2181 5.2181
angles: 90.00 90.00 90.00
Closest atoms and distances in Å follow each position.
Atoms (fractional coordinates):
Na 0.0000 0.0000 0.5000  2 Cl 2.61
Na 0.0000 0.5000 0.0000  2 Cl 2.61
Na 0.5000 0.0000 0.0000  2 Cl 2.61
Be 0.5000 0.5000 0.5000  12 Na 3.69
Cl 0.0000 0.0000 0.0000  6 Na 2.61

Distance to the lowest polymorph of the same formula, eV/f.u.: 0.000
Space group: Pm-3m, No. 221
Total magnetic moment, μB per formula unit: 0.00
Formation energy (no corrections), eV/atom: -0.183